DFT (PBE-GGA) results for a relaxed structure of Ac5Pm5Nd2.

a = 18.1171 Å, b = 5.9844 Å, c = 10.4184 Å
α = 90.00°, β = 124.95°, γ = 90.00°
Space group C2/m (No. 12)
Inequivalent atoms, fractional coordinates:
Ac 0.0000 0.0000 0.0000 (multiplicity 2)
Ac 0.1215 0.0000 0.4584 (multiplicity 4)
Ac 0.2484 0.5000 0.7529 (multiplicity 4)
Pm 0.0000 0.5000 0.5000 (multiplicity 2)
Pm 0.1223 0.5000 0.2830 (multiplicity 4)
Pm 0.1233 0.5000 0.9528 (multiplicity 4)
Nd 0.1253 0.0000 0.7981 (multiplicity 4)

DFT formation energy   0.066 eV per atom
Crystal system   monoclinic

***

DFT (PBE-GGA) results for a relaxed structure of AcPm4Nd2.

a = 7.0453 Å, b = 11.5357 Å, c = 12.8335 Å
α = 90.00°, β = 90.00°, γ = 90.00°
Space group Imma (No. 74)
Inequivalent atoms, fractional coordinates:
Ac 0.2500 0.2500 0.2500 (multiplicity 4)
Pm 0.0000 0.0016 0.1348 (multiplicity 8)
Pm 0.2197 0.2500 0.9865 (multiplicity 8)
Nd 0.0000 0.0000 0.5000 (multiplicity 4)
Nd 0.0000 0.2500 0.7209 (multiplicity 4)

ΔE to the lowest computed polymorph   55.8 meV/atom
DFT formation energy   0.257 eV per atom
Crystal system   orthorhombic

***

DFT (PBE-GGA) results for a relaxed structure of Ac3Pm4Nd8.

a = 14.5024 Å, b = 12.6622 Å, c = 7.0602 Å
α = 90.00°, β = 119.12°, γ = 90.00°
Space group C2/m (No. 12)
Inequivalent atoms, fractional coordinates:
Ac 0.0000 0.0000 0.0000 (multiplicity 2)
Ac 0.2500 0.2500 0.5000 (multiplicity 4)
Pm 0.0000 0.5000 0.0000 (multiplicity 2)
Pm 0.0000 0.5000 0.5000 (multiplicity 2)
Pm 0.2500 0.2500 0.0000 (multiplicity 4)
Nd 0.0000 0.2063 0.5000 (multiplicity 4)
Nd 0.0000 0.2583 0.0000 (multiplicity 4)
Nd 0.2035 0.0000 0.7034 (multiplicity 4)
Nd 0.2409 0.5000 0.7616 (multiplicity 4)

DFT formation energy   0.329 eV per atom
Crystal system   monoclinic

***

DFT (PBE-GGA) results for a relaxed structure of Ac2Pm4Nd5.

a = 6.4542 Å, b = 6.4829 Å, c = 9.8352 Å
α = 89.83°, β = 83.63°, γ = 80.46°
Space group P-1 (No. 2)
Inequivalent atoms, fractional coordinates:
Ac 0.1441 0.2263 0.4528 (multiplicity 2)
Pm 0.0442 0.4059 0.8236 (multiplicity 2)
Pm 0.3139 0.8598 0.7337 (multiplicity 2)
Nd 0.2289 0.0449 0.0877 (multiplicity 2)
Nd 0.4130 0.6808 0.3577 (multiplicity 2)
Nd 0.5000 0.5000 0.0000 (multiplicity 1)

ΔE to the lowest computed polymorph   0.0 meV/atom
DFT formation energy   0.029 eV per atom
Crystal system   triclinic

***

What is the DFT formation energy in the fourth record?
0.029 eV per atom